Entry 1:
VASP calculation (PBE-GGA) on a relaxed structure of SmYBeZn.

Unit cell a=5.005 b=5.005 c=5.005 alpha=60.00 beta=60.00 gamma=60.00
Sites, in units of the cell vectors:
Be 0.500 0.500 0.500
Sm 0.250 0.250 0.250
Zn 0.000 0.000 0.000
Y 0.750 0.750 0.750

Properties
energy	-16.54	eV per cell

Entry 2:
VASP calculation (PBE-GGA) on a relaxed structure of PmSm6Dy2Th3.

Unit cell a=6.239 b=6.239 c=11.951 alpha=95.01 beta=95.01 gamma=119.94
Sites, in units of the cell vectors:
Sm 0.582 0.915 0.745
Sm 0.249 0.249 0.746
Dy 0.667 0.333 0.000
Th 0.500 0.500 0.500
Th 0.834 0.166 0.500
Sm 0.085 0.418 0.255
Sm 0.751 0.751 0.254
Th 0.166 0.834 0.500
Sm 0.915 0.582 0.745
Pm 0.000 0.000 0.000
Dy 0.333 0.667 0.000
Sm 0.418 0.085 0.255

Properties
energy	-64.15	eV per cell

Entry 3:
VASP calculation (PBE-GGA) on a relaxed structure of HoPd3Pb.

Unit cell a=4.694 b=5.770 c=7.544 alpha=90.00 beta=90.00 gamma=90.00
Sites, in units of the cell vectors:
Ho 0.750 0.250 0.133
Pd 0.250 0.250 0.912
Pd 0.250 0.513 0.238
Pd 0.750 0.013 0.762
Pd 0.250 0.987 0.238
Pb 0.250 0.250 0.549
Pd 0.750 0.487 0.762
Pd 0.750 0.750 0.088
Pb 0.750 0.750 0.451
Ho 0.250 0.750 0.867

Properties
energy	-54.17	eV per cell

Entry 4:
VASP calculation (PBE-GGA) on a relaxed structure of NdAl3Au10.

Unit cell a=9.225 b=9.224 c=9.224 alpha=60.00 beta=60.00 gamma=60.00
Sites, in units of the cell vectors:
Au 0.656 0.000 0.000
Nd 0.750 0.750 0.750
Au 0.656 0.000 0.344
Au 0.000 0.656 0.344
Au 0.384 0.384 0.847
Au 0.616 0.616 0.616
Al 0.264 0.736 0.264
Au 0.384 0.384 0.384
Al 0.736 0.264 0.736
Au 0.344 0.000 0.656
Al 0.736 0.736 0.264
Au 0.000 0.000 0.656
Au 0.384 0.847 0.384
Au 0.847 0.384 0.384
Au 0.000 0.344 0.000
Au 0.000 0.000 0.344
Au 0.344 0.656 0.000
Au 0.656 0.344 0.000
Au 0.000 0.344 0.656
Au 0.000 0.656 0.000
Al 0.264 0.264 0.736
Au 0.616 0.616 0.153
Au 0.344 0.000 0.000
Nd 0.250 0.250 0.250
Au 0.616 0.153 0.616
Al 0.736 0.264 0.264
Au 0.153 0.616 0.616
Al 0.264 0.736 0.736

Properties
energy	-105.92	eV per cell

Entry 5:
VASP calculation (PBE-GGA) on a relaxed structure of Tl3VAg2Se6.

Unit cell a=7.043 b=7.043 c=7.177 alpha=99.31 beta=99.31 gamma=119.80
Sites, in units of the cell vectors:
Se 0.373 0.065 0.205
Se 0.242 0.242 0.802
Tl 0.162 0.838 0.500
V 0.000 0.000 0.000
Se 0.065 0.373 0.205
Tl 0.500 0.500 0.500
Se 0.627 0.935 0.795
Tl 0.838 0.162 0.500
Se 0.758 0.758 0.198
Ag 0.332 0.668 0.000
Ag 0.668 0.332 0.000
Se 0.935 0.627 0.795

Properties
ΔE_f (raw)	-273	meV/atom

Entry 6:
VASP calculation (PBE-GGA) on a relaxed structure of PmSm5Tl6.

Unit cell a=5.466 b=9.467 c=9.479 alpha=60.04 beta=73.19 gamma=54.61
Sites, in units of the cell vectors:
Tl 0.251 0.582 0.334
Sm 0.500 0.500 0.000
Sm 0.000 0.333 0.334
Pm 0.000 0.000 0.000
Tl 0.749 0.084 0.334
Sm 0.500 0.834 0.332
Tl 0.752 0.748 0.000
Sm 0.000 0.667 0.666
Tl 0.251 0.916 0.666
Tl 0.749 0.418 0.666
Sm 0.500 0.166 0.668
Tl 0.248 0.252 0.000

Properties
energy	-47.10	eV per cell

Entry 7:
VASP calculation (PBE-GGA) on a relaxed structure of Zn2CdSi2.

Unit cell a=4.161 b=4.161 c=6.023 alpha=69.79 beta=69.79 gamma=90.00
Sites, in units of the cell vectors:
Zn 0.250 0.750 0.500
Si 0.611 0.611 0.779
Zn 0.750 0.250 0.500
Cd 0.000 0.000 0.000
Si 0.389 0.389 0.221

Properties
E above lowest polymorph	0.0	meV/atom
ΔE_f (raw)	213	meV/atom

| no. | magnetic moment (μB per formula unit) |
| --- | --- |
| 1 | 0.0 |
| 2 | 0.0 |
| 3 | 0.0 |
| 4 | 0.0 |
| 5 | 1.2 |
| 6 | 0.0 |
| 7 | 0.0 |